No. 1
A geometry-optimized CeIrPd2 structure, computed with PBE.

The structure in POSCAR format:
```
CeIrPd2
1.0
4.0809 0.0000 0.0000
0.0000 4.0809 0.0000
0.0000 0.0000 4.2268
Ce Ir Pd
1 1 2
direct
0.0000 0.0000 0.0000
0.5000 0.5000 0.0000
0.0000 0.5000 0.5000
0.5000 0.0000 0.5000
```

## Properties
Its excess energy over the best structure of this formula in the dataset is 0 meV/atom. Its formation energy is -0.678 eV per atom. The value obtained for the total moment is 0.000 μB per cell.

***

No. 2
A geometry-optimized Cu2TcAu structure, computed with PBE.

The structure in POSCAR format:
```
Cu2TcAu
1.0
4.6268 0.0000 0.0000
0.0000 4.6268 0.0000
0.0000 0.0000 2.6714
Cu Tc Au
2 1 1
direct
0.0000 0.5000 0.0000
0.5000 0.0000 0.0000
0.0000 0.0000 0.5000
0.5000 0.5000 0.5000
```

## Properties
Its excess energy over the best structure of this formula in the dataset is 161 meV/atom. Its formation energy is 0.324 eV per atom. The value obtained for the total moment is 0.520 μB per cell.

***

No. 3
A geometry-optimized LiMnInAu2 structure, computed with PBE.

The structure in POSCAR format:
```
LiMnInAu2
1.0
5.2445 0.0000 0.0000
0.0000 5.2445 0.0000
0.0000 0.0000 5.1335
Li Mn In Au
1 1 1 2
direct
0.0000 0.0000 0.0000
0.5000 0.5000 0.0000
0.5000 0.5000 0.5000
0.0000 0.5000 0.5000
0.5000 0.0000 0.5000
```

## Properties
Its formation energy is 0.542 eV per atom. The value obtained for the total moment is 4.409 μB per cell.

***

No. 4
A geometry-optimized CdSbPdAu structure, computed with PBE.

The structure in POSCAR format:
```
CdSbPdAu
1.0
0.0000 3.4090 3.4090
3.4090 0.0000 3.4090
3.4090 3.4090 0.0000
Cd Sb Pd Au
1 1 1 1
direct
0.0000 0.0000 0.0000
0.5000 0.5000 0.5000
0.7500 0.7500 0.7500
0.2500 0.2500 0.2500
```

## Properties
The formation energy without anion corrections comes out at -0.1090 eV/atom. The value obtained for the total moment is 0.000 μB per cell.

***

No. 5
A geometry-optimized KPdPb3 structure, computed with PBE.

The structure in POSCAR format:
```
KPdPb3
1.0
9.1595 0.0000 0.0000
0.0000 7.4061 0.0000
-4.5574 0.0000 9.0437
K Pd Pb
4 4 12
direct
0.1431 0.0847 0.2469
0.1431 0.4153 0.7469
0.8569 0.5847 0.2531
0.8569 0.9153 0.7531
0.4505 0.6652 0.0488
0.4505 0.8348 0.5488
0.5495 0.1652 0.4512
0.5495 0.3348 0.9512
0.1526 0.6410 0.0920
0.1526 0.8590 0.5920
0.2960 0.5078 0.4345
0.2960 0.9922 0.9345
0.4513 0.1719 0.6755
0.4513 0.3281 0.1755
0.5487 0.6719 0.8245
0.5487 0.8281 0.3245
0.7040 0.0078 0.0655
0.7040 0.4922 0.5655
0.8474 0.1410 0.4080
0.8474 0.3590 0.9080
```

## Properties
Its excess energy over the best structure of this formula in the dataset is 8 meV/atom. Its formation energy is -0.172 eV per atom. The value obtained for the total moment is 0.000 μB per cell.

***

No. 6
A geometry-optimized K2SmBiO4 structure, computed with PBE.

The structure in POSCAR format:
```
K2SmBiO4
1.0
6.2376 0.0000 0.0000
0.0000 3.6001 0.0000
-2.0689 0.0000 6.3049
K Sm Bi O
2 1 1 4
direct
0.0000 0.0000 0.0000
0.5000 0.5000 0.0000
0.0000 0.5000 0.5000
0.5000 0.0000 0.5000
0.2244 0.0000 0.6924
0.2593 0.5000 0.3009
0.7407 0.5000 0.6991
0.7756 0.0000 0.3076
```

## Properties
The formation energy without anion corrections comes out at -2.0051 eV/atom. The value obtained for the total moment is 0.000 μB per cell.

***

No. 7
A geometry-optimized KCuBr2 structure, computed with PBE.

The structure in POSCAR format:
```
KCuBr2
1.0
-2.0763 2.0763 7.3362
2.0763 -2.0763 7.3362
2.0763 2.0763 -7.3362
K Cu Br
1 1 2
direct
0.0000 0.0000 0.0000
0.7500 0.2500 0.5000
0.2500 0.7500 0.5000
0.5000 0.5000 0.0000
```

## Properties
The formation energy without anion corrections comes out at -0.5614 eV/atom. Its excess energy over the best structure of this formula in the dataset is 435 meV/atom. The value obtained for the total moment is 0.000 μB per cell.

***

No. 8
A geometry-optimized Ac5YTm structure, computed with PBE.

The structure in POSCAR format:
```
Ac5YTm
1.0
3.3283 -9.2643 0.0000
3.3283 9.2643 0.0000
-2.5698 0.0000 9.6412
Ac Y Tm
10 2 2
direct
0.0188 0.3868 0.6455
0.1324 0.8676 0.7500
0.2433 0.5324 0.0352
0.3868 0.0188 0.1455
0.4676 0.7567 0.4648
0.5324 0.2433 0.5352
0.6132 0.9812 0.8545
0.7567 0.4676 0.9648
0.8676 0.1324 0.2500
0.9812 0.6132 0.3545
0.4857 0.5143 0.7500
0.5143 0.4857 0.2500
0.0000 0.0000 0.0000
0.0000 0.0000 0.5000
```

## Properties
Its formation energy is 0.222 eV per atom. The value obtained for the total moment is 0.000 μB per cell.